The following is a PBE calculation of a relaxed ThAl2Ge2 crystal, from the Alexandria database.

Calculated values
Space group: P2_1/m, No. 11
DOS(E_F) (states/eV per atom): 0.204
ΔE_f (eV per atom): -0.34

Unit cell a=5.8169 b=4.3030 c=9.0109 alpha=90.00 beta=106.05 gamma=90.00
Last column: nearest neighbours and their distance in Å.
Atoms (fractional coordinates):
Th 0.1449 0.2500 0.3002  6 Ge 3.03-3.26, 3 Al 3.33-3.37
Th 0.8551 0.7500 0.6998  6 Ge 3.03-3.26, 3 Al 3.33-3.37
Al 0.2803 0.7500 0.0552  2 Ge 2.50, 1 Al 2.57
Al 0.3920 0.2500 0.6858  3 Ge 2.49-2.60, 1 Al 2.57
Al 0.6080 0.7500 0.3142  3 Ge 2.49-2.60, 1 Al 2.57
Al 0.7197 0.2500 0.9448  2 Ge 2.50, 1 Al 2.57
Ge 0.1891 0.2500 0.9087  3 Al 2.50-2.60
Ge 0.2780 0.7500 0.5460  2 Al 2.49
Ge 0.7220 0.2500 0.4540  2 Al 2.49
Ge 0.8109 0.7500 0.0913  3 Al 2.50-2.60

=====

The following is a PBE calculation of a relaxed KNa4Au2 crystal, from the Alexandria database.

Calculated values
Space group: Cmmm, No. 65
DOS(E_F) (states/eV per atom): 0.384
ΔE_f (eV per atom): -0.19

Unit cell a=4.7855 b=18.7137 c=4.8634 alpha=90.00 beta=90.00 gamma=90.00
Last column: nearest neighbours and their distance in Å.
Atoms (fractional coordinates):
K 0.0000 0.0000 0.0000  8 Au 3.69, 8 Na 3.98-4.04
K 0.5000 0.5000 0.0000  8 Au 3.69, 8 Na 3.98-4.04
Na 0.0000 0.1726 0.5000  2 Au 3.01
Na 0.0000 0.3298 0.0000  2 Au 3.02
Na 0.0000 0.6702 0.0000  2 Au 3.02
Na 0.0000 0.8274 0.5000  2 Au 3.01
Na 0.5000 0.1702 0.0000  2 Au 3.02
Na 0.5000 0.3274 0.5000  2 Au 3.01
Na 0.5000 0.6726 0.5000  2 Au 3.01
Na 0.5000 0.8298 0.0000  2 Au 3.02
Au 0.0000 0.4254 0.5000  1 Au 2.79, 4 Na 3.01-3.02
Au 0.0000 0.5746 0.5000  1 Au 2.79, 4 Na 3.01-3.02
Au 0.5000 0.0746 0.5000  1 Au 2.79, 4 Na 3.01-3.02
Au 0.5000 0.9254 0.5000  1 Au 2.79, 4 Na 3.01-3.02

=====

The following is a PBE calculation of a relaxed TaSbCl2 crystal, from the Alexandria database.

Calculated values
Space group: Cmmm, No. 65
DOS(E_F) (states/eV per atom): 0.857
ΔE_f (raw) (eV/f.u.): 2.1

Unit cell a=5.9530 b=9.1412 c=3.0355 alpha=90.00 beta=90.00 gamma=90.00
Last column: nearest neighbours and their distance in Å.
Atoms (fractional coordinates):
Ta 0.0000 0.0000 0.0000  2 Sb 2.98, 2 Ta 3.04, 8 Cl 3.12
Ta 0.5000 0.5000 0.0000  2 Sb 2.98, 2 Ta 3.04, 8 Cl 3.12
Sb 0.0000 0.5000 0.0000  2 Ta 2.98, 2 Sb 3.04, 8 Cl 3.12
Sb 0.5000 0.0000 0.0000  2 Ta 2.98, 2 Sb 3.04, 8 Cl 3.12
Cl 0.2500 0.2500 0.5000  4 Cl 2.98-3.04, 4 Ta 3.12, 4 Sb 3.12
Cl 0.2500 0.7500 0.5000  4 Cl 2.98-3.04, 4 Ta 3.12, 4 Sb 3.12
Cl 0.7500 0.2500 0.5000  4 Cl 2.98-3.04, 4 Ta 3.12, 4 Sb 3.12
Cl 0.7500 0.7500 0.5000  4 Cl 2.98-3.04, 4 Ta 3.12, 4 Sb 3.12

=====

The following is a PBE calculation of a relaxed Sm8PtAu2 crystal, from the Alexandria database.

Calculated values
Space group: Cm, No. 8
DOS(E_F) (states/eV per atom): 1.028
ΔE_f (eV per atom): -0.45

Unit cell a=10.2105 b=10.2105 c=5.6551 alpha=99.63 beta=99.63 gamma=140.47
Last column: nearest neighbours and their distance in Å.
Atoms (fractional coordinates):
Sm 0.0000 0.0000 0.0000  1 Pt 2.90
Sm 0.1231 0.8912 0.5260  1 Pt 2.96, 2 Au 3.13-3.20
Sm 0.2803 0.5220 0.2589  1 Pt 2.91, 2 Au 3.06-3.15
Sm 0.4613 0.4613 0.8162  1 Pt 2.97
Sm 0.5130 0.9147 0.9015  3 Au 2.99-3.30
Sm 0.5220 0.2803 0.2589  1 Pt 2.91, 2 Au 3.06-3.15
Sm 0.8912 0.1231 0.5260  1 Pt 2.96, 2 Au 3.13-3.20
Sm 0.9147 0.5130 0.9015  3 Au 2.99-3.30
Pt 0.6929 0.6929 0.4195  6 Sm 2.90-2.97
Au 0.4559 0.9615 0.4009  7 Sm 2.99-3.30
Au 0.9615 0.4559 0.4009  7 Sm 2.99-3.30

=====

The following is a PBE calculation of a relaxed Li2Ca2Y crystal, from the Alexandria database.

Calculated values
Space group: I4/mmm, No. 139
DOS(E_F) (states/eV per atom): 0.860
ΔE_f (eV per atom): 0.14

Unit cell a=3.7721 b=3.7721 c=22.0793 alpha=90.00 beta=90.00 gamma=90.00
Last column: nearest neighbours and their distance in Å.
Atoms (fractional coordinates):
Li 0.0000 0.5000 0.2500  4 Li 2.67
Li 0.0000 0.5000 0.7500  4 Li 2.67
Li 0.5000 0.0000 0.2500  4 Li 2.67
Li 0.5000 0.0000 0.7500  4 Li 2.67
Ca 0.0000 0.0000 0.1197  4 Li 3.44, 4 Y 3.75, 4 Ca 3.77
Ca 0.0000 0.0000 0.8803  4 Li 3.44, 4 Y 3.75, 4 Ca 3.77
Ca 0.5000 0.5000 0.3803  4 Li 3.44, 4 Y 3.75, 4 Ca 3.77
Ca 0.5000 0.5000 0.6197  4 Li 3.44, 4 Y 3.75, 4 Ca 3.77
Y 0.0000 0.0000 0.5000  8 Ca 3.75, 4 Y 3.77
Y 0.5000 0.5000 0.0000  8 Ca 3.75, 4 Y 3.77

=====

The following is a PBE calculation of a relaxed TePt2Cl crystal, from the Alexandria database.

Calculated values
Space group: Cmmm, No. 65
DOS(E_F) (states/eV per atom): 0.886
ΔE_f (raw) (eV/f.u.): 1.3

Unit cell a=3.5107 b=6.7701 c=7.7086 alpha=90.00 beta=90.00 gamma=90.00
Last column: nearest neighbours and their distance in Å.
Atoms (fractional coordinates):
Te 0.0000 0.0000 0.0000  4 Pt 2.58
Te 0.5000 0.5000 0.0000  4 Pt 2.58
Pt 0.0000 0.5000 0.2451  2 Te 2.58, 2 Cl 2.63
Pt 0.0000 0.5000 0.7549  2 Te 2.58, 2 Cl 2.63
Pt 0.5000 0.0000 0.2451  2 Te 2.58, 2 Cl 2.63
Pt 0.5000 0.0000 0.7549  2 Te 2.58, 2 Cl 2.63
Cl 0.0000 0.0000 0.5000  4 Pt 2.63
Cl 0.5000 0.5000 0.5000  4 Pt 2.63

=====

The following is a PBE calculation of a relaxed CaSn2Pd2 crystal, from the Alexandria database.

Calculated values
Space group: P4/mbm, No. 127
DOS(E_F) (states/eV per atom): 0.237
ΔE_f (eV per atom): -0.54

Unit cell a=7.9562 b=7.9562 c=3.3602 alpha=90.00 beta=90.00 gamma=90.00
Last column: nearest neighbours and their distance in Å.
Atoms (fractional coordinates):
Ca 0.0000 0.0000 0.0000  4 Pd 3.12, 2 Ca 3.36, 8 Sn 3.43
Ca 0.5000 0.5000 0.0000  4 Pd 3.12, 2 Ca 3.36, 8 Sn 3.43
Sn 0.1593 0.3407 0.5000  6 Pd 2.86-2.90
Sn 0.3407 0.8407 0.5000  6 Pd 2.86-2.90
Sn 0.6593 0.1593 0.5000  6 Pd 2.86-2.90
Sn 0.8407 0.6593 0.5000  6 Pd 2.86-2.90
Pd 0.1307 0.6307 0.0000  6 Sn 2.86-2.90, 1 Pd 2.94, 2 Ca 3.12
Pd 0.3693 0.1307 0.0000  6 Sn 2.86-2.90, 1 Pd 2.94, 2 Ca 3.12
Pd 0.6307 0.8693 0.0000  6 Sn 2.86-2.90, 1 Pd 2.94, 2 Ca 3.12
Pd 0.8693 0.3693 0.0000  6 Sn 2.86-2.90, 1 Pd 2.94, 2 Ca 3.12

=====

The following is a PBE calculation of a relaxed AcHoSb2O8 crystal, from the Alexandria database.

Calculated values
Space group: I-4m2, No. 119
DOS(E_F) (states/eV per atom): 0.000
ΔE_f (raw) (eV/f.u.): -26.7

Unit cell a=6.3806 b=6.3806 c=6.3806 alpha=107.11 beta=107.11 gamma=114.31
Last column: nearest neighbours and their distance in Å.
Atoms (fractional coordinates):
Ac 0.0000 0.0000 0.0000  8 O 2.48-2.67
Ho 0.2500 0.7500 0.5000  8 O 2.38-2.50
Sb 0.5000 0.5000 0.0000  4 O 1.91
Sb 0.7500 0.2500 0.5000  4 O 1.90
O 0.3226 0.1294 0.8068  1 Sb 1.91
O 0.3226 0.5157 0.1932  1 Sb 1.91
O 0.3787 0.0556 0.3231  1 Sb 1.90
O 0.4843 0.6774 0.8068  1 Sb 1.91
O 0.7325 0.0556 0.6769  1 Sb 1.90
O 0.8706 0.6774 0.1932  1 Sb 1.91
O 0.9444 0.2675 0.3231  1 Sb 1.90
O 0.9444 0.6213 0.6769  1 Sb 1.90

=====

- Look up the DOS(E_F) of the second one.
  0.384 states/eV per atom